# 1
Entry from Alexandria via LeMat-Bulk: crystalline ZrTaBe2 at its relaxed geometry (GGA-PBEsol).

Size of the total moment, μB per cell: 0.0
Fermi-level density of states, states/eV per cell: 2.027
Energy of formation, meV per atom: -18
V, Å³ per atom: 14.2

Lattice parameters (Å, degrees): 2.928 3.432 5.642 90.00 90.00 90.00
Sites, in units of the cell vectors:
Be (0.000, 0.000, 0.213)
Be (0.000, 0.000, 0.787)
Ta (0.500, 0.500, 0.000)
Zr (0.500, 0.500, 0.500)



# 2
Entry from Alexandria via LeMat-Bulk: crystalline Zr2TaBe at its relaxed geometry (GGA-PBEsol).

Size of the total moment, μB per cell: 0.0
Fermi-level density of states, states/eV per cell: 4.388
Energy of formation, meV per atom: 295
V, Å³ per atom: 17.5

Lattice parameters (Å, degrees): 4.627 4.627 4.627 60.00 60.00 60.00
Sites, in units of the cell vectors:
Ta (0.250, 0.250, 0.250)
Zr (0.750, 0.750, 0.750)
Zr (0.000, 0.000, 0.000)
Be (0.500, 0.500, 0.500)



# 3
Entry from Alexandria via LeMat-Bulk: crystalline Zr2TaBe at its relaxed geometry (GGA-PBEsol).

Size of the total moment, μB per cell: 0.0
Fermi-level density of states, states/eV per cell: 2.821
Energy of formation, meV per atom: 117
V, Å³ per atom: 17.7

Lattice parameters (Å, degrees): 4.033 4.191 4.191 90.00 90.00 90.00
Sites, in units of the cell vectors:
Be (0.500, 0.500, 0.500)
Ta (0.500, 0.000, 0.000)
Zr (0.000, 0.000, 0.500)
Zr (0.000, 0.500, 0.000)



# 4
Entry from Alexandria via LeMat-Bulk: crystalline Be2Tc at its relaxed geometry (GGA-PBEsol).

Size of the total moment, μB per cell: 0.0
Fermi-level density of states, states/eV per cell: 2.280
Energy of formation, meV per atom: -377
Offset from the most stable computed form, meV per atom: 7
V, Å³ per atom: 9.5

Lattice parameters (Å, degrees): 4.321 4.321 4.321 60.00 60.00 60.00
Sites, in units of the cell vectors:
Be (0.125, 0.125, 0.625)
Be (0.125, 0.625, 0.125)
Be (0.125, 0.125, 0.125)
Be (0.625, 0.125, 0.125)
Tc (0.500, 0.500, 0.500)
Tc (0.750, 0.750, 0.750)



Fermi-level density of states of number 1 (ZrTaBe2)?
2.027 states/eV per cell



Look up the size of the total moment of the third one.
0.0 μB per cell



Which of these has the highest Fermi-level density of states?
number 2